w.
# LiNb2Co PBE optimized geometry
# DOS(E_F), states/eV per cell: 10.083
# Total moment, μB/cell: 1.55
data_LiNb2Co
_cell_length_a 2.7910
_cell_length_b 2.7910
_cell_length_c 29.6780
_cell_angle_alpha 90.00
_cell_angle_beta 90.00
_cell_angle_gamma 120.00
_space_group_name_H-M_alt 'R -3 m'
_space_group_IT_number 166
_space_group_name_Hall '-R 3 2"'
loop_
_atom_site_label
_atom_site_type_symbol
_atom_site_fract_x
_atom_site_fract_y
_atom_site_fract_z
Li1 Li 0.0000 0.0000 0.0000
Nb1 Nb 0.0000 0.0000 0.0946
Co1 Co 0.0000 0.0000 0.5000

x.
# LiNb2Co PBE optimized geometry
# DOS(E_F), states/eV per cell: 15.887
# Total moment, μB/cell: 0.00
data_LiNb2Co
_cell_length_a 6.997
_cell_length_b 6.997
_cell_length_c 5.296
_cell_angle_alpha 90.00
_cell_angle_beta 90.00
_cell_angle_gamma 90.00
_space_group_name_H-M_alt 'I -4 2 d'
_space_group_IT_number 122
_space_group_name_Hall 'I -4 2bw'
loop_
_atom_site_label
_atom_site_type_symbol
_atom_site_fract_x
_atom_site_fract_y
_atom_site_fract_z
Li1 Li 0.000 0.000 0.000
Nb1 Nb 0.212 0.250 0.625
Co1 Co 0.000 0.000 0.500

y.
# LiNb2Co PBE optimized geometry
# DOS(E_F), states/eV per cell: 11.639
# Total moment, μB/cell: 7.79
data_LiNb2Co
_cell_length_a 6.196
_cell_length_b 6.196
_cell_length_c 6.196
_cell_angle_alpha 90.00
_cell_angle_beta 90.00
_cell_angle_gamma 90.00
_space_group_name_H-M_alt 'F m -3 m'
_space_group_IT_number 225
_space_group_name_Hall '-F 4 2 3'
loop_
_atom_site_label
_atom_site_type_symbol
_atom_site_fract_x
_atom_site_fract_y
_atom_site_fract_z
Li1 Li 0.000 0.000 0.000
Nb1 Nb 0.250 0.250 0.250
Co1 Co 0.000 0.000 0.500

Order of stability, best first: y, w, x